# PBE LiLa2HRh, relaxed
data_LiLa2HRh
_chemical_formula_sum 'Li1 La2 H1 Rh1'
_cell_length_a 5.2550
_cell_length_b 5.2550
_cell_length_c 3.7340
_cell_angle_alpha 90.00
_cell_angle_beta 90.00
_cell_angle_gamma 90.00
_space_group_name_H-M_alt 'P 4/m m m'
_space_group_IT_number 123
_space_group_name_Hall '-P 4 2'
loop_
_atom_site_label
_atom_site_type_symbol
_atom_site_fract_x
_atom_site_fract_y
_atom_site_fract_z
Li1 Li 0.0000 0.0000 0.0000
La1 La 0.0000 0.5000 0.5000
H1 H 0.5000 0.5000 0.5000
Rh1 Rh 0.5000 0.5000 0.0000
# Total magnetization   0.00 μB per formula unit
# Energy above the lowest structure with this stoichiometry   68 meV/atom
# Calculated total energy   -0.178 Ha/atom



# PBE NaSnSb2I, relaxed
data_NaSnSb2I
_chemical_formula_sum 'Na1 Sn1 Sb2 I1'
_cell_length_a 5.7092
_cell_length_b 5.7092
_cell_length_c 6.4573
_cell_angle_alpha 90.00
_cell_angle_beta 90.00
_cell_angle_gamma 90.00
_space_group_name_H-M_alt 'P 4/m m m'
_space_group_IT_number 123
_space_group_name_Hall '-P 4 2'
loop_
_atom_site_label
_atom_site_type_symbol
_atom_site_fract_x
_atom_site_fract_y
_atom_site_fract_z
Na1 Na 0.0000 0.0000 0.0000
Sn1 Sn 0.5000 0.5000 0.5000
Sb1 Sb 0.0000 0.5000 0.5000
I1 I 0.5000 0.5000 0.0000
# Total magnetization   0.96 μB per formula unit
# Energy above the lowest structure with this stoichiometry   0 meV/atom
# Calculated total energy   -0.103 Ha/atom